P.
The following is a GGA-PBE calculation of a relaxed structure of Pr3Hg2Pd, from the Alexandria database.

Geometry as POSCAR:
```
Pr3Hg2Pd
1.0
6.204 0.000 0.000
0.000 8.005 0.002
-3.102 -2.002 7.393
Pr Hg Pd
6 4 2
Direct
0.499 0.250 0.000
0.501 0.750 0.000
0.143 0.071 0.284
0.859 0.429 0.716
0.141 0.571 0.284
0.857 0.929 0.716
0.682 0.592 0.366
0.684 0.092 0.366
0.316 0.908 0.634
0.318 0.408 0.634
0.001 0.750 0.000
0.999 0.250 0.000
```

Output
- Size of the total moment: 0.0 μB/cell
- Theoretical density: 8.415 g/cm3


Q.
The following is a GGA-PBE calculation of a relaxed structure of Pr3Hg2Pd, from the Alexandria database.

Geometry as POSCAR:
```
Pr3Hg2Pd
1.0
-1.727 3.288 0.807
-3.265 -1.378 -1.372
-2.665 -3.926 10.289
Pr Hg Pd
3 2 1
Direct
0.000 0.000 0.000
0.000 0.000 0.652
0.000 0.000 0.348
0.500 0.500 0.828
0.500 0.500 0.172
0.500 0.500 0.500
```

Output
- Size of the total moment: 0.2 μB/cell
- Theoretical density: 9.440 g/cm3


On energetic grounds, Q is preferred over the next structure by 12.8 kJ/mol of atoms.


P.
The following is a GGA-PBE calculation of a relaxed structure of Pr2HgPd, from the Alexandria database.

Geometry as POSCAR:
```
Pr2HgPd
1.0
-0.992 -2.836 2.994
0.206 -4.149 -0.857
7.112 -2.445 3.047
Pr Hg Pd
2 1 1
Direct
0.071 0.071 0.786
0.263 0.263 0.212
0.500 0.500 0.499
0.666 0.666 0.003
```

Output
- Size of the total moment: 0.0 μB/cell
- Theoretical density: 8.112 g/cm3


Q.
The following is a GGA-PBE calculation of a relaxed structure of Pr2HgPd, from the Alexandria database.

Geometry as POSCAR:
```
Pr2HgPd
1.0
-2.970 1.348 -2.530
-1.691 -2.570 -2.752
-7.140 -2.539 3.661
Pr Hg Pd
2 1 1
Direct
0.261 0.261 0.217
0.739 0.739 0.783
0.500 0.500 0.500
0.000 0.000 0.000
```

Output
- Size of the total moment: 0.0 μB/cell
- Theoretical density: 8.208 g/cm3


On energetic grounds, Q is preferred over the next structure by 1.5 kJ/mol of atoms.


P.
The following is a GGA-PBE calculation of a relaxed structure of PrHg2Pd9, from the Alexandria database.

Geometry as POSCAR:
```
PrHg2Pd9
1.0
-0.564 -1.420 -3.833
-3.082 -2.393 1.340
-7.985 9.064 -2.182
Pr Hg Pd
1 2 9
Direct
0.000 0.000 0.000
0.000 0.000 0.340
0.000 0.000 0.660
0.500 0.500 0.000
0.500 0.500 0.336
0.500 0.500 0.664
0.500 0.000 0.176
0.500 0.000 0.500
0.500 0.000 0.824
0.000 0.500 0.176
0.000 0.500 0.500
0.000 0.500 0.824
```

Output
- Size of the total moment: 0.0 μB/cell
- Theoretical density: 11.920 g/cm3


Q.
The following is a GGA-PBE calculation of a relaxed structure of PrHg2Pd9, from the Alexandria database.

Geometry as POSCAR:
```
PrHg2Pd9
1.0
5.393 0.000 0.000
2.697 4.671 0.000
2.697 1.557 8.736
Pr Hg Pd
1 2 9
Direct
0.000 0.000 0.000
0.859 0.859 0.424
0.141 0.141 0.576
0.666 0.666 0.001
0.334 0.334 0.999
0.500 0.500 0.500
0.412 0.412 0.257
0.919 0.412 0.257
0.412 0.919 0.257
0.588 0.588 0.743
0.588 0.081 0.743
0.081 0.588 0.743
```

Output
- Size of the total moment: 0.0 μB/cell
- Theoretical density: 11.317 g/cm3


On energetic grounds, P is preferred over the next structure by 5.1 kJ/mol of atoms.